Entry 1:
A geometry-optimized BaNbH structure, computed with PBE.

SG = F-43m
V = 29.305 Å³/atom
crystal system = cubic
total energy = -3.2717 eV/atom

Unit cell a=4.991 b=4.991 c=4.991 alpha=60.00 beta=60.00 gamma=60.00
Site moments in Bohr magnetons follow the coordinates.
Element x y z (fractional)
H  0.250  0.250  0.250  -0.04
Nb  0.500  0.500  0.500  2.96
Ba  0.750  0.750  0.750  0.35



Entry 2:
A geometry-optimized CaZnAu2 structure, computed with PBE.

SG = P4/mmm
V = 20.393 Å³/atom
energy relative to the elements = -447 meV/atom
crystal system = tetragonal

Unit cell a=4.579 b=4.579 c=3.890 alpha=89.98 beta=89.98 gamma=90.04
Element x y z (fractional)
Ca  0.500  0.000  0.500
Au  0.500  0.500  0.000
Au  0.000  0.000  0.000
Zn  0.000  0.500  0.500



Entry 3:
A geometry-optimized Ce2TmGe3 structure, computed with PBE.

SG = Immm
V = 26.052 Å³/atom
energy relative to the elements = -639 meV/atom
crystal system = orthorhombic

Unit cell a=4.206 b=5.935 c=7.241 alpha=114.19 beta=106.88 gamma=90.00
Element x y z (fractional)
Ge  0.666  0.666  0.332
Ge  0.334  0.334  0.668
Ge  0.000  0.000  0.000
Tm  0.000  0.500  0.000
Ce  0.667  0.167  0.333
Ce  0.333  0.833  0.667



Entry 4:
A geometry-optimized AcPm7Nd2 structure, computed with PBE.

SG = Cmmm
V = 41.900 Å³/atom
energy relative to the elements = 606 meV/atom
crystal system = orthorhombic

Unit cell a=5.726 b=9.330 c=9.330 alpha=122.80 beta=90.00 gamma=90.00
Element x y z (fractional)
Pm  0.500  0.702  0.937
Pm  0.500  0.063  0.298
Pm  0.000  0.233  0.767
Pm  0.500  0.937  0.702
Pm  0.000  0.767  0.233
Pm  0.500  0.500  0.500
Pm  0.500  0.298  0.063
Ac  0.000  0.000  0.000
Nd  0.500  0.298  0.702
Nd  0.500  0.702  0.298



Entry 5:
A geometry-optimized Mg4InRh structure, computed with PBE.

SG = C2/c
V = 21.778 Å³/atom
energy relative to the elements = -223 meV/atom
crystal system = monoclinic

Unit cell a=5.619 b=8.080 c=7.350 alpha=114.60 beta=100.97 gamma=110.44
Element x y z (fractional)
Mg  0.223  0.278  0.343
Mg  0.283  0.644  0.838
Mg  0.945  0.806  0.162
Mg  0.620  0.064  0.343
Mg  0.380  0.936  0.657
Mg  0.055  0.194  0.838
Mg  0.717  0.356  0.162
Mg  0.777  0.722  0.657
In  0.627  0.377  0.755
In  0.373  0.623  0.245
Rh  0.247  0.997  0.994
Rh  0.753  0.003  0.006



Entry 6:
A geometry-optimized LaTbTl structure, computed with PBE.

SG = P3m1
V = 31.908 Å³/atom
energy relative to the elements = -189 meV/atom
crystal system = trigonal

Unit cell a=3.847 b=5.361 c=5.361 alpha=120.00 beta=90.00 gamma=90.00
Element x y z (fractional)
Tl  0.231  0.333  0.667
La  0.654  0.667  0.333
Tb  0.115  0.000  0.000